Material: CsMoN2
Method: DFT, PBE-GGA
State: relaxed

Values from the calculation:
electronic total energy = -7.5148 eV per atom

a = 6.1779 Å, b = 6.1779 Å, c = 6.1779 Å
α = 60.00°, β = 60.00°, γ = 60.00°
Closest atoms and distances in Å follow each position.
Fractional coordinates of all 8 atoms:
1 N 0.6250 0.1250 0.6250  2 Mo 1.89
2 N 0.6250 0.6250 0.6250  2 Mo 1.89
3 N 0.6250 0.6250 0.1250  2 Mo 1.89
4 N 0.1250 0.6250 0.6250  2 Mo 1.89
5 Cs 0.2500 0.2500 0.2500  12 N 3.62, 4 Mo 3.78, 4 Cs 3.78
6 Cs 0.0000 0.0000 0.0000  12 N 3.62, 4 Mo 3.78, 4 Cs 3.78
7 Mo 0.7500 0.7500 0.7500  4 N 1.89
8 Mo 0.5000 0.5000 0.5000  4 N 1.89